No. 1
{
  "formula": "HfBi2AsP",
  "functional": "SCAN",
  "state": "PBEsol geometry",
  "cell": [[4.903, 0.000, 0.000], [0.000, 5.568, 0.000], [0.000, 0.000, 5.568]],
  "species": ["P", "As", "Hf", "Bi", "Bi"],
  "fractional_positions": [[0.500, 0.500, 0.500], [0.500, 0.000, 0.000], [0.000, 0.000, 0.000], [0.000, 0.000, 0.500], [0.000, 0.500, 0.000]],
  "spacegroup": "P4/mmm",
  "ef_mev_per_atom": 758,
  "vol_a3_per_cell": 152.0
}

---

No. 2
{
  "formula": "HgBiAs3",
  "functional": "SCAN",
  "state": "PBEsol geometry",
  "cell": [[5.411, 0.000, 0.000], [0.000, 5.411, 0.000], [0.000, 0.000, 5.411]],
  "species": ["As", "As", "As", "Bi", "Hg"],
  "fractional_positions": [[0.000, 0.500, 0.000], [0.000, 0.000, 0.500], [0.500, 0.000, 0.000], [0.000, 0.000, 0.000], [0.500, 0.500, 0.500]],
  "spacegroup": "Pm-3m",
  "ef_mev_per_atom": 1142,
  "vol_a3_per_cell": 158.5
}

---

No. 3
{
  "formula": "HgBiAs2",
  "functional": "SCAN",
  "state": "PBEsol geometry",
  "cell": [[6.238, 0.000, 0.000], [0.000, 6.238, 0.000], [-3.119, -3.119, 6.381]],
  "species": ["As", "As", "As", "As", "Bi", "Bi", "Hg", "Hg"],
  "fractional_positions": [[0.854, 0.375, 0.250], [0.396, 0.875, 0.250], [0.625, 0.604, 0.750], [0.125, 0.146, 0.750], [0.250, 0.750, 0.500], [0.000, 0.000, 0.000], [0.750, 0.250, 0.500], [0.500, 0.500, 0.000]],
  "spacegroup": "I-42d",
  "ef_mev_per_atom": 227,
  "vol_a3_per_cell": 248.3
}

---

No. 4
{
  "formula": "MgHgBi2As",
  "functional": "SCAN",
  "state": "PBEsol geometry",
  "cell": [[5.008, 0.000, 0.000], [0.000, 5.458, 0.000], [0.000, 0.000, 5.458]],
  "species": ["Mg", "As", "Bi", "Bi", "Hg"],
  "fractional_positions": [[0.000, 0.000, 0.000], [0.500, 0.500, 0.500], [0.000, 0.000, 0.500], [0.000, 0.500, 0.000], [0.500, 0.000, 0.000]],
  "spacegroup": "P4/mmm",
  "ef_mev_per_atom": 631,
  "vol_a3_per_cell": 149.2
}

---

No. 5
{
  "formula": "HgBiAsSe2",
  "functional": "SCAN",
  "state": "PBEsol geometry",
  "cell": [[-0.076, -5.407, -0.210], [2.590, 0.148, -4.749], [4.820, -0.170, 2.624]],
  "species": ["As", "Bi", "Se", "Se", "Hg"],
  "fractional_positions": [[0.000, 0.000, 0.500], [0.000, 0.000, 0.000], [0.000, 0.500, 0.000], [0.500, 0.000, 0.000], [0.500, 0.500, 0.500]],
  "spacegroup": "P4/mmm",
  "vol_a3_per_cell": 160.8,
  "e_form_raw_mev_per_atom": 692
}

---

No. 6
{
  "formula": "InBi3As",
  "functional": "SCAN",
  "state": "PBEsol geometry",
  "cell": [[-1.639, 2.073, -4.923], [-4.329, -3.533, -0.046], [-3.130, 3.801, 2.642]],
  "species": ["As", "Bi", "Bi", "Bi", "In"],
  "fractional_positions": [[0.500, 0.500, 0.500], [0.000, 0.500, 0.000], [0.000, 0.000, 0.500], [0.500, 0.000, 0.000], [0.000, 0.000, 0.000]],
  "spacegroup": "Pm-3m",
  "ef_mev_per_atom": 1023,
  "vol_a3_per_cell": 174.4
}

---

No. 7
{
  "formula": "BiAs2Ir",
  "functional": "SCAN",
  "state": "PBEsol geometry",
  "cell": [[-1.454, 5.274, 2.746], [-1.295, -3.040, 5.153], [6.683, -0.529, -2.268]],
  "species": ["As", "As", "As", "As", "Ir", "Ir", "Bi", "Bi"],
  "fractional_positions": [[0.443, 0.875, 0.250], [0.807, 0.375, 0.250], [0.125, 0.193, 0.750], [0.625, 0.557, 0.750], [0.750, 0.250, 0.500], [0.500, 0.500, 0.000], [0.250, 0.750, 0.500], [0.000, 0.000, 0.000]],
  "spacegroup": "I-42d",
  "ef_mev_per_atom": 64,
  "vol_a3_per_cell": 209.8
}

---

No. 8
{
  "formula": "K2BiAs2",
  "functional": "SCAN",
  "state": "PBEsol geometry",
  "cell": [[5.168, 0.000, 0.000], [0.000, 7.520, 0.000], [0.000, 0.000, 7.520]],
  "species": ["K", "K", "K", "K", "As", "As", "As", "As", "Bi", "Bi"],
  "fractional_positions": [[0.500, 0.178, 0.678], [0.500, 0.678, 0.822], [0.500, 0.822, 0.322], [0.500, 0.322, 0.178], [0.000, 0.385, 0.885], [0.000, 0.885, 0.615], [0.000, 0.615, 0.115], [0.000, 0.115, 0.385], [0.000, 0.000, 0.000], [0.000, 0.500, 0.500]],
  "spacegroup": "P4/mbm",
  "ef_mev_per_atom": -403,
  "vol_a3_per_cell": 292.3
}

---

No. 9
{
  "formula": "K3Bi2As3O12",
  "functional": "SCAN",
  "state": "PBEsol geometry",
  "cell": [[-6.759, 1.941, 0.116], [-4.197, -4.577, 7.608], [-0.503, 8.443, 4.992]],
  "species": ["K", "K", "K", "K", "K", "K", "Bi", "Bi", "Bi", "Bi", "As", "As", "As", "As", "As", "As", "O", "O", "O", "O", "O", "O", "O", "O", "O", "O", "O", "O", "O", "O", "O", "O", "O", "O", "O", "O", "O", "O", "O", "O"],
  "fractional_positions": [[0.750, 0.985, 0.015], [0.250, 0.277, 0.723], [0.750, 0.723, 0.277], [0.000, 0.500, 0.500], [0.250, 0.015, 0.985], [0.500, 0.500, 0.500], [0.835, 0.093, 0.383], [0.335, 0.383, 0.093], [0.665, 0.617, 0.907], [0.165, 0.907, 0.617], [0.861, 0.350, 0.135], [0.139, 0.650, 0.865], [0.750, 0.246, 0.754], [0.639, 0.865, 0.650], [0.361, 0.135, 0.350], [0.250, 0.754, 0.246], [0.634, 0.709, 0.580], [0.151, 0.083, 0.455], [0.849, 0.917, 0.545], [0.670, 0.243, 0.607], [0.366, 0.291, 0.420], [0.651, 0.455, 0.083], [0.592, 0.004, 0.338], [0.092, 0.338, 0.004], [0.046, 0.900, 0.234], [0.165, 0.818, 0.848], [0.830, 0.393, 0.757], [0.546, 0.234, 0.900], [0.835, 0.182, 0.152], [0.335, 0.152, 0.182], [0.134, 0.580, 0.709], [0.908, 0.662, 0.996], [0.408, 0.996, 0.662], [0.349, 0.545, 0.917], [0.170, 0.607, 0.243], [0.454, 0.766, 0.100], [0.954, 0.100, 0.766], [0.330, 0.757, 0.393], [0.665, 0.848, 0.818], [0.866, 0.420, 0.291]],
  "spacegroup": "C2/c",
  "vol_a3_per_cell": 617.5,
  "e_form_raw_mev_per_atom": -1636
}

---

No. 10
{
  "formula": "KBiAs2Se",
  "functional": "SCAN",
  "state": "PBEsol geometry",
  "cell": [[5.237, 0.000, 0.000], [0.000, 5.237, 0.000], [0.000, 0.000, 5.353]],
  "species": ["K", "As", "As", "Bi", "Se"],
  "fractional_positions": [[0.000, 0.000, 0.000], [0.000, 0.500, 0.000], [0.500, 0.000, 0.000], [0.500, 0.500, 0.500], [0.000, 0.000, 0.500]],
  "spacegroup": "P4/mmm",
  "vol_a3_per_cell": 146.8,
  "e_form_raw_mev_per_atom": 1371
}

---

No. 11
{
  "formula": "LaNbBiAs2",
  "functional": "SCAN",
  "state": "PBEsol geometry",
  "cell": [[-2.269, -3.573, 2.506], [3.124, 0.643, 3.744], [-3.446, 3.753, 2.231]],
  "species": ["As", "As", "Nb", "Bi", "La"],
  "fractional_positions": [[0.000, 0.500, 0.000], [0.500, 0.000, 0.000], [0.000, 0.000, 0.000], [0.000, 0.000, 0.500], [0.500, 0.500, 0.500]],
  "spacegroup": "P4/mmm",
  "ef_mev_per_atom": -372,
  "vol_a3_per_cell": 134.6
}

---

No. 12
{
  "formula": "LaBiAs2Pt",
  "functional": "SCAN",
  "state": "PBEsol geometry",
  "cell": [[4.863, 0.000, 0.000], [0.000, 4.863, 0.000], [0.000, 0.000, 5.506]],
  "species": ["As", "As", "Bi", "Pt", "La"],
  "fractional_positions": [[0.000, 0.500, 0.000], [0.500, 0.000, 0.000], [0.000, 0.000, 0.500], [0.000, 0.000, 0.000], [0.500, 0.500, 0.500]],
  "spacegroup": "P4/mmm",
  "ef_mev_per_atom": -280,
  "vol_a3_per_cell": 130.2
}